This record from the Alexandria database describes a relaxed K2AlVO4 crystal. The functional is PBE with a Hubbard U.

a b c (Å): 11.559 10.197 6.566
angles (deg): 84.22 61.36 34.42
Fractional coordinates of all 16 atoms:
K 0.055 0.055 0.695
K 0.305 0.305 0.945
K 0.695 0.695 0.055
K 0.945 0.945 0.305
Al 0.375 0.375 0.375
Al 0.625 0.625 0.625
V 0.125 0.125 0.125
V 0.875 0.875 0.875
O 0.014 0.651 0.564
O 0.270 0.564 0.651
O 0.349 0.986 0.730
O 0.436 0.730 0.986
O 0.564 0.270 0.014
O 0.651 0.014 0.270
O 0.730 0.436 0.349
O 0.986 0.349 0.436

Properties
Total moment in Bohr magnetons per cell: 4.00
Final energy in eV per cell: -97.93